This record from the Alexandria database describes crystalline BaCa2Zn2Ge2 at its relaxed geometry. The functional is PBE.

a = 10.096 Å, b = 10.096 Å, c = 10.096 Å
α = 26.45°, β = 26.45°, γ = 26.45°
Fractional coordinates of all 7 atoms:
Ba (0.000, 0.000, 0.000)
Ca (0.134, 0.134, 0.134)
Ca (0.866, 0.866, 0.866)
Zn (0.423, 0.423, 0.423)
Zn (0.577, 0.577, 0.577)
Ge (0.252, 0.252, 0.252)
Ge (0.748, 0.748, 0.748)

Results
Formation energy = -0.413 eV per atom
N(E_F) = 2.24 states/eV per cell
Space-group type = No. 166
DFT total energy = -20.6 eV/cell

This record from the Alexandria database describes crystalline MgHgBr4 at its relaxed geometry. The functional is PBE.

a = 15.341 Å, b = 3.984 Å, c = 6.993 Å
α = 90.00°, β = 115.46°, γ = 90.00°
Fractional coordinates of all 12 atoms:
Mg (0.000, 0.000, 0.000)
Mg (0.500, 0.500, 0.000)
Hg (0.000, 0.500, 0.500)
Hg (0.500, 0.000, 0.500)
Br (0.111, 0.500, 0.255)
Br (0.114, 0.000, 0.789)
Br (0.386, 0.500, 0.211)
Br (0.389, 0.000, 0.745)
Br (0.611, 0.000, 0.255)
Br (0.614, 0.500, 0.789)
Br (0.886, 0.000, 0.211)
Br (0.889, 0.500, 0.745)

Results
N(E_F) = 0.00 states/eV per cell
Offset from the most stable computed form = 0 meV/atom
Space-group type = No. 12
Formation energy without anion corrections = -21.55 kcal/mol of atoms
DFT total energy = -28.4 eV/cell

This record from the Alexandria database describes crystalline TbSmDyAg at its relaxed geometry. The functional is PBE.

a = 3.618 Å, b = 3.618 Å, c = 8.755 Å
α = 90.00°, β = 90.00°, γ = 90.00°
Fractional coordinates of all 4 atoms:
Tb (0.000, 0.000, 0.000)
Sm (0.500, 0.500, 0.290)
Dy (0.000, 0.000, 0.579)
Ag (0.500, 0.500, 0.787)

Results
Formation energy = -0.132 eV per atom
N(E_F) = 4.93 states/eV per cell
Offset from the most stable computed form = 0 meV/atom
Space-group type = No. 99
DFT total energy = -17.3 eV/cell

This record from the Alexandria database describes crystalline Rb3NaTl2Cl6 at its relaxed geometry. The functional is PBE.

a = 7.964 Å, b = 7.964 Å, c = 7.886 Å
α = 99.73°, β = 99.73°, γ = 119.98°
Fractional coordinates of all 12 atoms:
Rb (0.000, 0.000, 0.000)
Rb (0.329, 0.671, 0.000)
Rb (0.671, 0.329, 0.000)
Na (0.500, 0.500, 0.500)
Tl (0.165, 0.835, 0.500)
Tl (0.835, 0.165, 0.500)
Cl (0.110, 0.423, 0.267)
Cl (0.267, 0.267, 0.733)
Cl (0.423, 0.110, 0.267)
Cl (0.577, 0.890, 0.733)
Cl (0.733, 0.733, 0.267)
Cl (0.890, 0.577, 0.733)

Results
N(E_F) = 0.00 states/eV per cell
Space-group type = No. 12
Formation energy without anion corrections = -36.71 kcal/mol of atoms
DFT total energy = -39.1 eV/cell

> Which formula does entry 2 have?

MgHgBr4

> Which value of N(E_F) does entry 3 give?

4.93 states/eV per cell